! K3Ag4Br PBE-GGA optimized geometry; values from VASP
! - Calculated volume: 292 Å³/cell
! - Raw total energy: -1.7487 eV/atom
&SYSTEM
  ibrav = 0, nat = 8, ntyp = 3
/
ATOMIC_SPECIES
Ag 107.87 Ag.upf
Br 79.90 Br.upf
K 39.10 K.upf
CELL_PARAMETERS angstrom
-5.873 -1.568 2.659
-2.318 -1.533 -6.025
2.038 -6.262 0.809
ATOMIC_POSITIONS angstrom
Ag -2.937 -0.784 1.329
Ag -1.159 -0.766 -3.012
Ag 1.019 -3.131 0.405
Ag -3.076 -4.681 -1.279
Br 0.000 0.000 0.000
K -4.096 -1.551 -1.683
K -1.917 -3.915 1.734
K -0.140 -3.897 -2.608